LiTmPt2 | meta-GGA SCAN | PBEsol geometry

Cell lengths 4.5622, 4.5622, 4.5622 Å; angles 60.00, 60.00, 60.00 degrees
With the nearest neighbours (Å) after each atom.
Atoms (fractional coordinates):
Pt1 0.7500 0.7500 0.7500  4 Li 2.79, 4 Tm 2.79
Pt2 0.2500 0.2500 0.2500  4 Tm 2.79, 4 Li 2.79
Li1 0.5000 0.5000 0.5000  8 Pt 2.79
Tm1 0.0000 0.0000 0.0000  8 Pt 2.79

V = 16.79 Å³ per atom
space group = No. 225
density = 13998 kg/m3
E_form = -1.0885 eV per atom
magnetic moment = 0.00 μB per formula unit